# Li5AgHg | Alexandria via LeMat-Bulk | PBE-GGA | relaxed
# magnetic moment	0.00	μB/cell
# energy relative to the elements	-0.162	eV per atom
# ΔE to the lowest computed polymorph	0.8	kJ per mole of atoms
# density	4419	kg/m³
data_Li5AgHg
_chemical_formula_sum 'Li20 Ag4 Hg4'
_symmetry_space_group_name_H-M 'C 1 2/c 1'
_symmetry_Int_Tables_number 15
_cell_length_a 7.4164
_cell_length_b 6.2451
_cell_length_c 11.1358
_cell_angle_alpha 90.00
_cell_angle_beta 90.41
_cell_angle_gamma 90.00
loop_
_symmetry_equiv_pos_as_xyz
'x,y,z'
'-x,-y,-z'
'-x,y,-z+1/2'
'x,-y,z+1/2'
'x+1/2,y+1/2,z'
'-x+1/2,-y+1/2,-z'
'-x+1/2,y+1/2,-z+1/2'
'x+1/2,-y+1/2,z+1/2'
loop_
_atom_site_label
_atom_site_type_symbol
_atom_site_fract_x
_atom_site_fract_y
_atom_site_fract_z
_atom_site_occupancy
Li1 Li 0.0000 0.0566 0.2500 1
Li2 Li 0.2006 0.3498 0.1096 1
Li3 Li 0.2047 0.3464 0.3878 1
Ag1 Ag 0.0000 0.0000 0.0000 1
Hg1 Hg 0.0000 0.3743 0.7500 1